Material: InCoCu2
Method: DFT, GGA-PBE
State: optimized geometry

The formation energy comes out at 0.11 eV per atom. The raw total energy is -4.40 eV/atom. The density of states at the Fermi level comes out at 1.7 states/eV/cell. As for the total moment: 0.00 μB/atom.

The space group is P4/mmm (No. 123) and the conventional cell measures 3.7254, 3.7254 and 3.9536 Å, with angles of 90.00, 90.00 and 90.00 degrees. Symmetry generates all atoms from In at (0.0000, 0.0000, 0.0000), Co at (0.5000, 0.5000, 0.0000) and Cu at (0.0000, 0.5000, 0.5000).